The following is a DFT calculation (GGA-PBE) of crystalline Cs4Cd2Se at its relaxed geometry.

Cell and atoms, written as POSCAR:
```
Cs4Cd2Se
1.0
7.262 0.000 0.000
0.000 7.262 0.000
0.000 0.000 18.121
Cs Cd Se
8 4 2
Direct
0.000 0.000 0.185 Cs
0.000 0.000 0.815 Cs
0.000 0.500 0.000 Cs
0.000 0.500 0.500 Cs
0.500 0.000 0.000 Cs
0.500 0.000 0.500 Cs
0.500 0.500 0.315 Cs
0.500 0.500 0.685 Cs
0.000 0.000 0.413 Cd
0.000 0.000 0.587 Cd
0.500 0.500 0.087 Cd
0.500 0.500 0.913 Cd
0.000 0.000 0.000 Se
0.500 0.500 0.500 Se
```

space group	I4/mmm
M_tot	0.00	μB per formula unit
formation energy from raw total energies	-0.344	eV per atom
mass density	2903	kg/m³
total DFT energy (no corrections)	-1.59	eV/atom

The following is a DFT calculation (GGA-PBE) of crystalline PmNi2B at its relaxed geometry.

Cell and atoms, written as POSCAR:
```
PmNi2B
1.0
5.254 0.000 0.000
-2.627 4.550 0.000
0.000 0.000 7.141
Pm Ni B
3 6 3
Direct
0.000 0.500 0.167 Pm
0.500 0.000 0.500 Pm
0.500 0.500 0.833 Pm
0.142 0.284 0.500 Ni
0.142 0.858 0.833 Ni
0.284 0.142 0.167 Ni
0.716 0.858 0.167 Ni
0.858 0.142 0.833 Ni
0.858 0.716 0.500 Ni
0.000 0.500 0.667 B
0.500 0.000 0.000 B
0.500 0.500 0.333 B
```

space group	P6_222
M_tot	0.00	μB per formula unit
formation energy from the elements	-0.415	eV per atom
distance to the lowest polymorph of the same formula	0.000	eV per atom
mass density	7973	kg/m³
total DFT energy (no corrections)	-6.16	eV/atom

The following is a DFT calculation (GGA-PBE) of crystalline ScReTe2N at its relaxed geometry.

Cell and atoms, written as POSCAR:
```
ScReTe2N
1.0
5.468 0.000 0.000
0.000 5.468 0.000
0.000 0.000 3.750
Sc Re Te N
1 1 2 1
Direct
0.000 0.000 0.000 Sc
0.500 0.500 0.500 Re
0.000 0.500 0.500 Te
0.500 0.000 0.500 Te
0.500 0.500 0.000 N
```

space group	P4/mmm
M_tot	0.00	μB per formula unit
distance to the lowest polymorph of the same formula	0.000	eV per atom
formation energy from raw total energies	0.002	eV per atom
mass density	7411	kg/m³
total DFT energy (no corrections)	-6.68	eV/atom

The following is a DFT calculation (GGA-PBE) of crystalline LiRe2Ru at its relaxed geometry.

Cell and atoms, written as POSCAR:
```
LiRe2Ru
1.0
2.744 0.000 0.000
0.000 2.744 0.000
0.000 0.000 7.525
Li Re Ru
1 2 1
Direct
0.000 0.000 0.000 Li
0.000 0.000 0.528 Re
0.500 0.500 0.256 Re
0.500 0.500 0.761 Ru
```

space group	P4mm
M_tot	0.00	μB per formula unit
formation energy from the elements	0.302	eV per atom
distance to the lowest polymorph of the same formula	0.175	eV per atom
mass density	14082	kg/m³
total DFT energy (no corrections)	-8.72	eV/atom

The following is a DFT calculation (GGA-PBE) of crystalline GaPd3Pb at its relaxed geometry.

Cell and atoms, written as POSCAR:
```
GaPd3Pb
1.0
5.094 0.000 0.000
0.000 5.094 0.000
0.000 0.000 5.094
Ga Pd Pb
1 3 1
Direct
0.000 0.000 0.000 Ga
0.000 0.500 0.500 Pd
0.500 0.000 0.500 Pd
0.500 0.500 0.000 Pd
0.500 0.500 0.500 Pb
```

space group	Pm-3m
M_tot	0.00	μB per formula unit
formation energy from the elements	0.713	eV per atom
distance to the lowest polymorph of the same formula	1.121	eV per atom
mass density	7488	kg/m³
total DFT energy (no corrections)	-3.75	eV/atom

The following is a DFT calculation (GGA-PBE) of crystalline SiSe2Br at its relaxed geometry.

Cell and atoms, written as POSCAR:
```
SiSe2Br
1.0
3.907 0.000 0.000
0.000 3.907 0.000
0.000 0.000 5.987
Si Se Br
1 2 1
Direct
0.000 0.000 0.000 Si
0.000 0.500 0.500 Se
0.500 0.000 0.500 Se
0.500 0.500 0.000 Br
```

space group	P4/mmm
M_tot	0.00	μB per formula unit
distance to the lowest polymorph of the same formula	0.508	eV per atom
formation energy from raw total energies	0.395	eV per atom
mass density	4832	kg/m³
total DFT energy (no corrections)	-3.12	eV/atom